Computed, not measured: Ta2Ti6Mo after structural relaxation at the PBE level of DFT.

- E_form: 14 meV per atom
- Crystal system: triclinic
- Volume: 155.0 Å³/cell
- Space-group type: P-1

Cell: 2.839 7.947 8.421 Å, 118.04 70.33 89.98°
Fractional positions:
Ta: 0.532 0.333 0.667
Ta: 0.468 0.667 0.333
Ti: 0.600 0.991 0.674
Ti: 0.957 0.326 0.317
Ti: 0.400 0.009 0.326
Ti: 0.734 0.318 0.991
Ti: 0.043 0.674 0.683
Ti: 0.266 0.682 0.009
Mo: 0.000 0.000 0.000